#A
A plane-wave DFT calculation with PBE-GGA was carried out for crystalline KNaSe2 at its relaxed geometry.

The structure in POSCAR format:
```
KNaSe2
1.0
-4.269 -2.685 -1.705
-4.538 0.172 2.779
-4.205 2.633 -1.930
Na K Se
1 1 2
Direct
0.000 0.000 0.000
0.500 0.500 0.500
0.250 0.250 0.250
0.750 0.750 0.750
```

Calculated values
- Size of the total moment: 0.3 Bohr magnetons per cell



#B
A plane-wave DFT calculation with PBE-GGA was carried out for crystalline KNaSe2 at its relaxed geometry.

The structure in POSCAR format:
```
KNaSe2
1.0
5.376 0.000 0.000
0.000 5.376 0.000
2.688 2.688 9.430
Na K Se
2 2 4
Direct
0.500 0.500 0.000
0.250 0.750 0.500
0.000 0.000 0.000
0.750 0.250 0.500
0.443 0.125 0.250
0.307 0.625 0.250
0.375 0.557 0.750
0.875 0.693 0.750
```

Calculated values
- Size of the total moment: 0.0 Bohr magnetons per cell



#C
A plane-wave DFT calculation with PBE-GGA was carried out for crystalline KNaSe2 at its relaxed geometry.

The structure in POSCAR format:
```
KNaSe2
1.0
4.740 0.000 0.000
0.000 5.542 -0.092
0.000 -1.910 5.203
K Na Se
1 1 2
Direct
0.000 0.042 0.958
0.500 0.575 0.425
0.500 0.105 0.506
0.500 0.494 0.895
```

Calculated values
- Size of the total moment: 0.0 Bohr magnetons per cell



#D
A plane-wave DFT calculation with PBE-GGA was carried out for crystalline KNaSe2 at its relaxed geometry.

The structure in POSCAR format:
```
KNaSe2
1.0
2.147 0.000 10.323
-1.073 1.859 10.323
-1.073 -1.859 10.323
Na K Se
1 1 2
Direct
0.000 0.000 0.000
0.500 0.500 0.500
0.913 0.913 0.913
0.087 0.087 0.087
```

Calculated values
- Size of the total moment: 0.0 Bohr magnetons per cell



Which of them is the most stable, and which is the least stable? #C and #D, in that order.



#A
A plane-wave DFT calculation with PBE-GGA was carried out for crystalline K2Na2Se at its relaxed geometry.

The structure in POSCAR format:
```
K2Na2Se
1.0
8.301 0.000 0.000
0.000 8.301 0.000
0.000 0.000 6.570
Na K Se
4 4 2
Direct
0.158 0.658 0.500
0.658 0.842 0.500
0.842 0.342 0.500
0.342 0.158 0.500
0.336 0.836 0.000
0.836 0.664 0.000
0.664 0.164 0.000
0.164 0.336 0.000
0.000 0.000 0.000
0.500 0.500 0.000
```

Calculated values
- Size of the total moment: 0.0 Bohr magnetons per cell



#B
A plane-wave DFT calculation with PBE-GGA was carried out for crystalline K2Na2Se at its relaxed geometry.

The structure in POSCAR format:
```
K2Na2Se
1.0
7.903 0.000 0.000
0.000 7.903 0.000
0.000 0.000 6.087
Na K Se
4 4 2
Direct
0.344 0.844 0.000
0.844 0.656 0.000
0.656 0.156 0.000
0.156 0.344 0.000
0.194 0.694 0.500
0.694 0.806 0.500
0.806 0.306 0.500
0.306 0.194 0.500
0.000 0.000 0.000
0.500 0.500 0.000
```

Calculated values
- Size of the total moment: 0.0 Bohr magnetons per cell



Which of them is the most stable, and which is the least stable? #B and #A, in that order.



#A
A plane-wave DFT calculation with PBE-GGA was carried out for crystalline KNa3Se at its relaxed geometry.

The structure in POSCAR format:
```
KNa3Se
1.0
-5.819 -1.053 0.813
0.889 -5.793 -1.135
0.989 -0.985 5.804
Na K Se
3 1 1
Direct
0.000 0.500 0.000
0.000 0.000 0.500
0.500 0.000 0.000
0.000 0.000 0.000
0.500 0.500 0.500
```

Calculated values
- Size of the total moment: 0.0 Bohr magnetons per cell



#B
A plane-wave DFT calculation with PBE-GGA was carried out for crystalline KNa3Se at its relaxed geometry.

The structure in POSCAR format:
```
KNa3Se
1.0
5.813 0.000 0.000
0.000 5.813 0.000
0.000 0.000 5.813
Na K Se
3 1 1
Direct
0.000 0.500 0.000
0.000 0.000 0.500
0.500 0.000 0.000
0.500 0.500 0.500
0.000 0.000 0.000
```

Calculated values
- Size of the total moment: 0.0 Bohr magnetons per cell



Which of them is the most stable, and which is the least stable? #B and #A, in that order.



#A
A plane-wave DFT calculation with PBE-GGA was carried out for crystalline K2NaSe2 at its relaxed geometry.

The structure in POSCAR format:
```
K2NaSe2
1.0
8.077 0.000 0.000
0.000 8.077 0.000
0.000 0.000 4.809
Na K Se
2 4 4
Direct
0.000 0.000 0.000
0.500 0.500 0.000
0.150 0.650 0.500
0.650 0.850 0.500
0.850 0.350 0.500
0.350 0.150 0.500
0.352 0.852 0.000
0.852 0.648 0.000
0.648 0.148 0.000
0.148 0.352 0.000
```

Calculated values
- Size of the total moment: 2.0 Bohr magnetons per cell



#B
A plane-wave DFT calculation with PBE-GGA was carried out for crystalline K2NaSe2 at its relaxed geometry.

The structure in POSCAR format:
```
K2NaSe2
1.0
-2.927 -4.441 7.594
-1.971 -7.469 -5.128
3.286 -1.239 0.542
Na K Se
2 4 4
Direct
0.000 0.000 0.000
0.500 0.500 0.000
0.378 0.878 0.000
0.878 0.622 0.000
0.622 0.122 0.000
0.122 0.378 0.000
0.178 0.678 0.500
0.678 0.822 0.500
0.822 0.322 0.500
0.322 0.178 0.500
```

Calculated values
- Size of the total moment: 0.0 Bohr magnetons per cell



Which of them is the most stable, and which is the least stable? #A and #B, in that order.



#A
A plane-wave DFT calculation with PBE-GGA was carried out for crystalline KNa3Si at its relaxed geometry.

The structure in POSCAR format:
```
KNa3Si
1.0
7.223 0.053 0.039
1.725 10.399 0.774
1.725 3.791 9.714
K Na Si
4 12 4
Direct
0.250 0.952 0.048
0.750 0.048 0.952
0.250 0.363 0.637
0.750 0.637 0.363
0.581 0.656 0.002
0.919 0.998 0.344
0.419 0.344 0.998
0.081 0.002 0.656
0.910 0.347 0.998
0.590 0.002 0.653
0.090 0.653 0.002
0.410 0.998 0.347
0.420 0.669 0.667
0.080 0.333 0.331
0.580 0.331 0.333
0.920 0.667 0.669
0.723 0.402 0.727
0.777 0.273 0.598
0.277 0.598 0.273
0.223 0.727 0.402
```

Calculated values
- Size of the total moment: 0.0 Bohr magnetons per cell



#B
A plane-wave DFT calculation with PBE-GGA was carried out for crystalline KNa3Si at its relaxed geometry.

The structure in POSCAR format:
```
KNa3Si
1.0
5.747 0.000 0.000
0.000 5.747 0.000
0.000 0.000 5.747
Na K Si
3 1 1
Direct
0.000 0.500 0.000
0.000 0.000 0.500
0.500 0.000 0.000
0.500 0.500 0.500
0.000 0.000 0.000
```

Calculated values
- Size of the total moment: 0.0 Bohr magnetons per cell



Which of them is the most stable, and which is the least stable? #A and #B, in that order.



#A
A plane-wave DFT calculation with PBE-GGA was carried out for crystalline KNaSi3 at its relaxed geometry.

The structure in POSCAR format:
```
KNaSi3
1.0
5.568 0.000 0.000
0.000 5.568 0.000
0.000 0.000 5.568
Na K Si
1 1 3
Direct
0.500 0.500 0.500
0.000 0.000 0.000
0.000 0.500 0.000
0.000 0.000 0.500
0.500 0.000 0.000
```

Calculated values
- Size of the total moment: 0.0 Bohr magnetons per cell



#B
A plane-wave DFT calculation with PBE-GGA was carried out for crystalline KNaSi3 at its relaxed geometry.

The structure in POSCAR format:
```
KNaSi3
1.0
-3.057 0.032 -4.178
4.073 -1.129 -2.989
-0.929 -5.052 0.641
Na K Si
1 1 3
Direct
0.000 0.000 0.000
0.500 0.500 0.500
0.000 0.500 0.000
0.000 0.000 0.500
0.500 0.000 0.000
```

Calculated values
- Size of the total moment: 0.0 Bohr magnetons per cell



Which of them is the most stable, and which is the least stable? #B and #A, in that order.



#A
A plane-wave DFT calculation with PBE-GGA was carried out for crystalline KNaTl2Si at its relaxed geometry.

The structure in POSCAR format:
```
KNaTl2Si
1.0
5.643 0.000 0.000
0.000 5.574 0.000
0.000 0.000 5.643
Na Tl Si K
1 2 1 1
Direct
0.000 0.500 0.000
0.000 0.000 0.500
0.500 0.000 0.000
0.000 0.000 0.000
0.500 0.500 0.500
```

Calculated values
- Size of the total moment: 0.0 Bohr magnetons per cell



#B
A plane-wave DFT calculation with PBE-GGA was carried out for crystalline KNaTl2Si at its relaxed geometry.

The structure in POSCAR format:
```
KNaTl2Si
1.0
-2.134 -2.840 4.999
4.175 -3.851 -0.406
3.583 3.513 3.525
Na Tl Si K
1 2 1 1
Direct
0.500 0.500 0.500
0.000 0.000 0.500
0.500 0.000 0.000
0.000 0.500 0.000
0.000 0.000 0.000
```

Calculated values
- Size of the total moment: 0.0 Bohr magnetons per cell



Which of them is the most stable, and which is the least stable? #A and #B, in that order.



#A
A plane-wave DFT calculation with PBE-GGA was carried out for crystalline KNaSn4 at its relaxed geometry.

The structure in POSCAR format:
```
KNaSn4
1.0
6.428 0.000 0.000
3.214 5.567 0.000
3.214 1.856 5.248
Na K Sn
1 1 4
Direct
0.000 0.000 0.000
0.250 0.250 0.250
0.625 0.625 0.124
0.625 0.124 0.625
0.625 0.625 0.625
0.124 0.625 0.625
```

Calculated values
- Size of the total moment: 0.0 Bohr magnetons per cell



#B
A plane-wave DFT calculation with PBE-GGA was carried out for crystalline KNaSn4 at its relaxed geometry.

The structure in POSCAR format:
```
KNaSn4
1.0
-0.117 -0.486 -4.961
1.063 -3.939 2.867
-9.691 -2.285 0.453
K Na Sn
1 1 4
Direct
0.000 0.000 0.500
0.000 0.000 0.000
0.667 0.333 0.774
0.333 0.667 0.226
0.667 0.333 0.226
0.333 0.667 0.774
```

Calculated values
- Size of the total moment: 0.0 Bohr magnetons per cell



Which of them is the most stable, and which is the least stable? #A and #B, in that order.



#A
A plane-wave DFT calculation with PBE-GGA was carried out for crystalline K2Na3Sn at its relaxed geometry.

The structure in POSCAR format:
```
K2Na3Sn
1.0
6.180 -0.199 -3.230
-3.942 5.748 -0.293
-0.326 0.110 6.809
K Na Sn
2 3 1
Direct
0.738 0.369 0.108
0.262 0.631 0.892
0.500 0.500 0.500
0.000 0.000 0.500
0.500 0.000 0.500
0.000 0.000 0.000
```

Calculated values
- Size of the total moment: 0.0 Bohr magnetons per cell



#B
A plane-wave DFT calculation with PBE-GGA was carried out for crystalline K2Na3Sn at its relaxed geometry.

The structure in POSCAR format:
```
K2Na3Sn
1.0
5.782 0.000 0.000
0.000 6.610 0.000
-2.891 -3.305 6.828
K Na Sn
2 3 1
Direct
0.720 0.220 0.439
0.280 0.780 0.561
0.395 0.395 0.789
0.000 0.000 0.000
0.605 0.605 0.211
0.000 0.500 0.000
```

Calculated values
- Size of the total moment: 0.0 Bohr magnetons per cell



Which of them is the most stable, and which is the least stable? #A and #B, in that order.



#A
A plane-wave DFT calculation with PBE-GGA was carried out for crystalline KNaSn at its relaxed geometry.

The structure in POSCAR format:
```
KNaSn
1.0
-2.002 3.416 1.052
-3.356 -2.211 0.795
4.582 -1.334 5.072
Na K Sn
1 1 1
Direct
0.918 0.918 0.835
0.626 0.626 0.251
0.307 0.307 0.613
```

Calculated values
- Size of the total moment: 0.0 Bohr magnetons per cell



#B
A plane-wave DFT calculation with PBE-GGA was carried out for crystalline KNaSn at its relaxed geometry.

The structure in POSCAR format:
```
KNaSn
1.0
8.970 0.000 0.000
0.000 8.970 0.000
0.000 0.000 6.434
Sn Na K
4 4 4
Direct
0.457 0.457 0.000
0.543 0.543 0.500
0.043 0.957 0.250
0.957 0.043 0.750
0.709 0.291 0.750
0.791 0.791 0.500
0.209 0.209 0.000
0.291 0.709 0.250
0.768 0.232 0.250
0.732 0.732 0.000
0.268 0.268 0.500
0.232 0.768 0.750
```

Calculated values
- Size of the total moment: 0.0 Bohr magnetons per cell



#C
A plane-wave DFT calculation with PBE-GGA was carried out for crystalline KNaSn at its relaxed geometry.

The structure in POSCAR format:
```
KNaSn
1.0
-3.323 0.612 0.710
0.101 -4.090 4.001
1.293 5.398 1.393
Na K Sn
1 1 1
Direct
0.332 0.667 0.333
0.615 0.333 0.667
0.053 0.000 0.000
```

Calculated values
- Size of the total moment: 0.0 Bohr magnetons per cell



Which of them is the most stable, and which is the least stable? #C and #B, in that order.



#A
A plane-wave DFT calculation with PBE-GGA was carried out for crystalline KNaSn at its relaxed geometry.

The structure in POSCAR format:
```
KNaSn
1.0
5.506 0.000 0.000
-2.753 4.770 -0.004
0.000 0.016 8.589
K Na Sn
2 2 2
Direct
0.667 0.334 0.129
0.333 0.666 0.871
0.333 0.666 0.426
0.667 0.334 0.574
0.000 0.000 0.665
0.000 0.000 0.335
```

Calculated values
- Size of the total moment: 0.0 Bohr magnetons per cell



#B
A plane-wave DFT calculation with PBE-GGA was carried out for crystalline KNaSn at its relaxed geometry.

The structure in POSCAR format:
```
KNaSn
1.0
-2.191 4.983 0.682
-3.018 -0.706 -4.529
-3.262 -5.328 6.326
K Na Sn
2 2 2
Direct
0.838 0.091 0.527
0.202 0.455 0.254
0.520 0.273 0.890
0.020 0.773 0.890
0.427 0.680 0.704
0.614 0.866 0.077
```

Calculated values
- Size of the total moment: 0.0 Bohr magnetons per cell



Which of them is the most stable, and which is the least stable? #A and #B, in that order.